Record 1
This record from Alexandria describes Eu2InAs after structural relaxation. The functional is PBE-GGA.

E_form   -2.0 eV/f.u.
Offset from the most stable computed form   264 meV per atom
Size of the total moment   14.3 μB/cell
Total DFT energy (no corrections)   -0.551 Ry per atom

Structure (extended XYZ):
```
4
Lattice="-2.1235 3.6233 -0.1651 -1.3489 1.4788 -3.6957 -9.8517 -3.3421 -0.1315" Properties=species:S:1:pos:R:3 pbc="T T T"
Eu -6.9440 -1.6556 -0.5179
Eu -6.3801 3.4155 -3.4744
As -6.6620 0.8800 -1.9962
In 0.0000 0.0000 0.0000
```

---

Record 2
This record from Alexandria describes ZrNiBr2 after structural relaxation. The functional is PBE-GGA.

Offset from the most stable computed form   582 meV per atom
Size of the total moment   0.3 μB/cell
Total DFT energy (no corrections)   -0.334 Ry per atom
Formation energy (no corrections)   -0.1208 eV per atom

Structure (extended XYZ):
```
4
Lattice="8.1436 -0.0741 -0.0439 7.4780 3.2254 -0.0439 7.4780 1.5085 2.8512" Properties=species:S:1:pos:R:3 pbc="T T T"
Br 22.9981 4.6394 2.7512
Br 11.6513 2.3504 1.3938
Ni 5.7749 1.1650 0.6908
Zr 17.3247 3.4949 2.0725
```

---

Record 3
This record from Alexandria describes Pm2SbIr after structural relaxation. The functional is PBE-GGA.

Offset from the most stable computed form   20 meV per atom
Size of the total moment   0.0 μB/cell
Total DFT energy (no corrections)   -0.465 Ry per atom
Formation energy (no corrections)   -0.7119 eV per atom

Structure (extended XYZ):
```
4
Lattice="-2.5786 2.3051 2.5758 -4.2422 -0.7734 0.0554 -1.3460 -4.2083 6.0285" Properties=species:S:1:pos:R:3 pbc="T T T"
Sb 0.0000 0.0000 0.0000
Ir -4.0834 -1.3383 4.3298
Pm -6.1532 -1.8644 6.3386
Pm -2.0136 -0.8121 2.3210
```

---

Record 4
This record from Alexandria describes Ac8Nd3Ho after structural relaxation. The functional is PBE-GGA.

E_form   7.0 eV/f.u.
Size of the total moment   0.0 μB/cell
Total DFT energy (no corrections)   -0.274 Ry per atom

Structure (extended XYZ):
```
12
Lattice="8.2491 -0.7206 -4.0486 -4.8742 7.7480 -1.0807 -0.4534 0.7206 9.1778" Properties=species:S:1:pos:R:3 pbc="T T T"
Ac 2.8126 1.6659 -0.0709
Ac 0.2022 5.9338 3.9777
Ac 4.4228 5.3615 -2.5183
Ac -1.5946 2.5348 6.7086
Ac 0.1645 2.9895 1.9770
Ac 5.4830 0.4253 -2.0716
Ac -3.4469 5.4791 7.4658
Ac -4.6067 7.3227 4.7745
Nd 0.3555 5.6308 -0.5403
Nd 2.5659 2.1172 4.5889
Nd -2.6638 4.2343 4.0486
Ho 0.0000 0.0000 0.0000
```

---

| no. | D(E_F) (states/eV/cell) |
| --- | --- |
| 1 | 18.6 |
| 2 | 4.6 |
| 3 | 1.4 |
| 4 | 20.4 |